Compound: AcPm15Dy4
Source: Alexandria via LeMat-Bulk
Functional: PBE-GGA
Structure: relaxed

Output
For the density of states at the Fermi level, the calculation gives 28.94 states/eV/f.u. The value obtained for the spin magnetization is 0.000 μB/f.u. Its calculated formation energy is 0.0209 eV/atom. Its space group is P4/mmm, No. 123. Its final energy is -93.36 eV for the cell shown.

Cell lengths 5.1582, 5.1582, 25.7571 Å; angles 90.00, 90.00, 90.00 degrees
Fractional coordinates of all 20 atoms:
Ac: 0.0000 0.0000 0.0000
Pm: 0.5000 0.5000 0.0000
Pm: 0.5000 0.5000 0.2045
Pm: 0.5000 0.5000 0.4013
Pm: 0.5000 0.5000 0.5987
Pm: 0.5000 0.5000 0.7955
Pm: 0.5000 0.0000 0.1050
Pm: 0.5000 0.0000 0.3025
Pm: 0.5000 0.0000 0.5000
Pm: 0.5000 0.0000 0.6975
Pm: 0.5000 0.0000 0.8950
Pm: 0.0000 0.5000 0.1050
Pm: 0.0000 0.5000 0.3025
Pm: 0.0000 0.5000 0.5000
Pm: 0.0000 0.5000 0.6975
Pm: 0.0000 0.5000 0.8950
Dy: 0.0000 0.0000 0.2034
Dy: 0.0000 0.0000 0.4013
Dy: 0.0000 0.0000 0.5987
Dy: 0.0000 0.0000 0.7966



Compound: Al2InCl
Source: Alexandria via LeMat-Bulk
Functional: PBE-GGA
Structure: relaxed

Output
For the density of states at the Fermi level, the calculation gives 1.39 states/eV/f.u. The value obtained for the spin magnetization is 0.000 μB/f.u. For the relative energy among the computed polymorphs, the calculation gives 79 meV/atom. Its space group is Cmm2, No. 35. The value obtained for the raw formation energy is -12.85 kJ per mole of atoms. Its final energy is -12.60 eV for the cell shown.

Cell lengths 3.1887, 3.1887, 9.9089 Å; angles 90.00, 90.00, 115.71 degrees
Fractional coordinates of all 4 atoms:
Cl: 0.0000 0.0000 0.4279
Al: 0.0000 0.0000 0.0377
Al: 0.5000 0.5000 0.2507
In: 0.5000 0.5000 0.7837



Compound: CaHgTe3
Source: Alexandria via LeMat-Bulk
Functional: PBE-GGA
Structure: relaxed

Output
For the density of states at the Fermi level, the calculation gives 9.25 states/eV/f.u. The value obtained for the spin magnetization is 0.001 μB/f.u. For the relative energy among the computed polymorphs, the calculation gives 157 meV/atom. Its space group is Pm-3m, No. 221. The value obtained for the raw formation energy is 7.33 kJ per mole of atoms. Its final energy is -11.35 eV for the cell shown.

Cell lengths 5.9061, 5.9061, 5.9061 Å; angles 90.00, 90.00, 90.00 degrees
Fractional coordinates of all 5 atoms:
Ca: 0.0000 0.0000 0.0000
Te: 0.0000 0.5000 0.0000
Te: 0.0000 0.0000 0.5000
Te: 0.5000 0.0000 0.0000
Hg: 0.5000 0.5000 0.5000